a) RbSbTeI2 | PBE | optimized geometry

Computed properties:
Volume: 342 Å³ per cell
SG: P4/mmm
Spin magnetization: 5.663 μB/cell
Mass density: 2.9 g cm⁻³

a = 6.9564 Å, b = 6.9564 Å, c = 7.0622 Å
α = 90.00°, β = 90.00°, γ = 90.00°
With the nearest neighbours (Å) after each atom.
Fractional positions:
Rb: 0.0000 0.0000 0.0000  4 I 3.48, 2 Sb 3.53
Sb: 0.0000 0.0000 0.5000  2 Rb 3.53
Te: 0.5000 0.5000 0.5000  4 Sb 4.92, 8 I 4.96
I: 0.0000 0.5000 0.0000  2 Rb 3.48
I: 0.5000 0.0000 0.0000  2 Rb 3.48

=====

b) RbSbTeI2 | PBE | optimized geometry

Computed properties:
Volume: 224 Å³ per cell
SG: P4/mmm
Spin magnetization: 0.000 μB/cell
Mass density: 4.4 g cm⁻³

a = 6.2262 Å, b = 6.2262 Å, c = 5.7822 Å
α = 90.00°, β = 90.00°, γ = 90.00°
With the nearest neighbours (Å) after each atom.
Fractional positions:
Rb: 0.0000 0.0000 0.0000  8 I 4.25, 4 Te 4.40
Sb: 0.5000 0.5000 0.5000  2 Te 2.89, 4 I 3.11
Te: 0.5000 0.5000 0.0000  2 Sb 2.89
I: 0.0000 0.5000 0.5000  2 Sb 3.11
I: 0.5000 0.0000 0.5000  2 Sb 3.11

=====

Out of the structures above, which one is the least stable? Solution: a).